Entry 1:
! PBE-GGA BaMg2Ni, relaxed; values from VASP
! Formation energy, eV per atom: 0.0717
! Crystal system: tetragonal
&SYSTEM
  ibrav = 0, nat = 4, ntyp = 3
/
ATOMIC_SPECIES
Mg 24.30 Mg.upf
Ba 137.33 Ba.upf
Ni 58.69 Ni.upf
ATOMIC_POSITIONS crystal
Mg 0.500 0.500 0.297
Mg 0.000 0.000 0.074
Ba 0.500 0.500 0.710
Ni 0.000 0.000 0.419
CELL_PARAMETERS angstrom
3.601 0.000 0.000
0.000 3.601 0.000
0.000 0.000 7.853

Entry 2:
! PBE-GGA MnAgPIrBr, relaxed; values from VASP
! Crystal system: triclinic
! Uncorrected formation energy, eV per atom: 0.024
&SYSTEM
  ibrav = 0, nat = 5, ntyp = 5
/
ATOMIC_SPECIES
Br 79.90 Br.upf
Ir 192.22 Ir.upf
Ag 107.87 Ag.upf
Mn 54.94 Mn.upf
P 30.97 P.upf
ATOMIC_POSITIONS crystal
Br 0.802 0.378 0.098
Ir 0.897 0.234 0.427
Ag 0.392 0.765 0.891
Mn 0.670 0.648 0.559
P 0.415 0.086 0.611
CELL_PARAMETERS angstrom
3.434 -0.047 -0.280
-1.635 4.185 0.564
-1.110 -0.394 7.659

Entry 3:
! PBE-GGA Na2AcSi2O6, relaxed; values from VASP
! Crystal system: trigonal
! Uncorrected formation energy, eV per atom: -2.349
&SYSTEM
  ibrav = 0, nat = 11, ntyp = 4
/
ATOMIC_SPECIES
O 16.00 O.upf
Na 22.99 Na.upf
Si 28.09 Si.upf
Ac 227.00 Ac.upf
ATOMIC_POSITIONS crystal
O 0.936 0.320 0.195
O 0.064 0.680 0.805
O 0.680 0.617 0.195
O 0.320 0.383 0.805
O 0.617 0.936 0.805
O 0.383 0.064 0.195
Na 0.333 0.667 0.307
Na 0.667 0.333 0.693
Si 0.667 0.333 0.221
Si 0.333 0.667 0.779
Ac 0.000 0.000 0.000
CELL_PARAMETERS angstrom
-4.587 1.406 -3.170
-0.433 -4.076 4.034
-1.933 5.297 5.145

Entry 4:
! PBE-GGA Tb2YPd8, relaxed; values from VASP
! Formation energy, eV per atom: -0.7470
! Crystal system: monoclinic
&SYSTEM
  ibrav = 0, nat = 11, ntyp = 3
/
ATOMIC_SPECIES
Pd 106.42 Pd.upf
Tb 158.93 Tb.upf
Y 88.91 Y.upf
ATOMIC_POSITIONS crystal
Pd 0.677 0.906 0.354
Pd 0.323 0.094 0.646
Pd 0.591 0.451 0.182
Pd 0.409 0.549 0.818
Pd 0.142 0.179 0.283
Pd 0.037 0.717 0.074
Pd 0.963 0.283 0.926
Pd 0.858 0.821 0.717
Tb 0.217 0.666 0.434
Tb 0.783 0.334 0.566
Y 0.500 0.000 0.000
CELL_PARAMETERS angstrom
4.216 0.000 0.000
0.000 6.790 0.219
-2.108 -2.594 6.969

Entry 5:
! PBE-GGA PrTm4Th, relaxed; values from VASP
! Formation energy, eV per atom: 0.0027
! Crystal system: monoclinic
&SYSTEM
  ibrav = 0, nat = 6, ntyp = 3
/
ATOMIC_SPECIES
Tm 168.93 Tm.upf
Pr 140.91 Pr.upf
Th 232.04 Th.upf
ATOMIC_POSITIONS crystal
Tm 0.169 0.169 0.115
Tm 0.831 0.831 0.885
Tm 0.333 0.333 0.391
Tm 0.667 0.667 0.609
Pr 0.500 0.500 0.000
Th 0.000 0.000 0.500
CELL_PARAMETERS angstrom
0.722 -3.638 -7.902
1.388 -0.217 -8.615
6.114 -1.136 0.254

Entry 6:
! PBE-GGA Tb2TmPuS4, relaxed; values from VASP
! Crystal system: monoclinic
! Uncorrected formation energy, eV per atom: -1.952
&SYSTEM
  ibrav = 0, nat = 8, ntyp = 4
/
ATOMIC_SPECIES
S 32.06 S.upf
Pu 244.00 Pu.upf
Tm 168.93 Tm.upf
Tb 158.93 Tb.upf
ATOMIC_POSITIONS crystal
S 0.500 0.756 0.755
S 0.000 0.246 0.751
S 0.000 0.754 0.249
S 0.500 0.244 0.245
Pu 0.500 0.500 0.000
Tm 0.000 0.000 0.000
Tb 0.500 0.000 0.500
Tb 0.000 0.500 0.500
CELL_PARAMETERS angstrom
3.897 0.000 0.000
0.000 6.782 0.132
0.000 -2.355 6.359

Entry 7:
! PBE-GGA HfZrC2, relaxed; values from VASP
! Formation energy, eV per atom: -0.8729
! Crystal system: trigonal
&SYSTEM
  ibrav = 0, nat = 4, ntyp = 3
/
ATOMIC_SPECIES
Hf 178.49 Hf.upf
Zr 91.22 Zr.upf
C 12.01 C.upf
ATOMIC_POSITIONS crystal
Hf 0.500 0.500 0.500
Zr 0.000 0.000 0.000
C 0.248 0.248 0.255
C 0.752 0.752 0.745
CELL_PARAMETERS angstrom
-1.246 -0.153 -3.068
0.585 -2.656 -1.896
-4.685 -3.298 0.276

no.,density of states at the Fermi level (states/eV/f.u.)
1,2.8
2,1.8
3,1.8
4,4.9
5,7.5
6,7.4
7,0.7